## MgW3 (PBE)

Data for MgW3 after structural relaxation.

V (Å³/cell): 67.6
Energy of formation (eV/atom): 0.5185

Geometry as POSCAR:
```
MgW3
1.0
2.804 0.000 0.000
-1.402 2.428 0.000
0.000 0.000 9.931
Mg W
1 3
Direct
0.000 0.000 0.000
0.000 0.000 0.500
0.667 0.333 0.253
0.667 0.333 0.747
```

## MgW2 (PBE)

Data for MgW2 after structural relaxation.

V (Å³/cell): 57.4
Energy of formation (eV/atom): 1.8658

Geometry as POSCAR:
```
MgW2
1.0
4.668 0.000 0.000
0.000 4.668 0.000
0.000 0.000 2.634
Mg W
1 2
Direct
0.000 0.000 0.000
0.000 0.500 0.500
0.500 0.000 0.500
```

## Mg3W4 (PBE)

Data for Mg3W4 after structural relaxation.

V (Å³/cell): 114.4
Energy of formation (eV/atom): 0.7041

Geometry as POSCAR:
```
Mg3W4
1.0
5.086 0.000 0.000
-2.543 4.404 0.000
0.000 0.000 5.106
Mg W
3 4
Direct
0.000 0.500 0.000
0.500 0.000 0.000
0.500 0.500 0.000
0.000 0.000 0.258
0.000 0.000 0.742
0.333 0.667 0.500
0.667 0.333 0.500
```

## MgW4 (PBE)

Data for MgW4 after structural relaxation.

V (Å³/cell): 83.2
Energy of formation (eV/atom): 0.4462

Geometry as POSCAR:
```
MgW4
1.0
-3.040 3.040 2.252
3.040 -3.040 2.252
3.040 3.040 -2.252
Mg W
1 4
Direct
0.000 0.000 0.000
0.203 0.413 0.617
0.413 0.797 0.210
0.587 0.203 0.790
0.797 0.587 0.383
```

## MgW3 (PBE)

Data for MgW3 after structural relaxation.

V (Å³/cell): 129.9
Energy of formation (eV/atom): 0.3703

Geometry as POSCAR:
```
MgW3
1.0
5.064 0.000 0.000
0.000 5.064 0.000
0.000 0.000 5.064
Mg W
2 6
Direct
0.000 0.000 0.000
0.500 0.500 0.500
0.000 0.250 0.500
0.000 0.750 0.500
0.250 0.500 0.000
0.500 0.000 0.250
0.500 0.000 0.750
0.750 0.500 0.000
```

## MgW (PBE)

Data for MgW after structural relaxation.

V (Å³/cell): 67.8
Energy of formation (eV/atom): 0.4410

Geometry as POSCAR:
```
MgW
1.0
0.000 3.236 3.236
3.236 0.000 3.236
3.236 3.236 0.000
Mg W
2 2
Direct
0.125 0.125 0.125
0.875 0.875 0.875
0.375 0.375 0.375
0.625 0.625 0.625
```

Please write out number 6 again, unchanged.
## MgW (PBE)

Data for MgW after structural relaxation.

V (Å³/cell): 67.8
Energy of formation (eV/atom): 0.4410

Geometry as POSCAR:
```
MgW
1.0
0.000 3.236 3.236
3.236 0.000 3.236
3.236 3.236 0.000
Mg W
2 2
Direct
0.125 0.125 0.125
0.875 0.875 0.875
0.375 0.375 0.375
0.625 0.625 0.625
```

- energy of formation of number 4 (MgW4)?
  0.4462 eV/atom

- Look up the V of the fourth one.
  83.2 Å³/cell

- The lowest V belongs to which entry?
  MgW2